# 1
The following is a DFT calculation (PBE-GGA) of a relaxed structure of BaHo2Os.

Values from the calculation:
- SG = P4/mmm, No. 123
- energy relative to the elements (meV per atom) = -75
- DOS at the Fermi energy (states/eV/cell) = 2.41
- calculated volume (Å³/cell) = 122.0
- magnetization (μB/cell) = 0.00
- VASP energy (eV/atom) = -5.6519

Unit cell a=3.472 b=3.472 c=10.117 alpha=90.00 beta=90.00 gamma=90.00
Positions (direct):
1 Ba 0.000 0.000 0.000
2 Ho 0.500 0.500 0.341
3 Ho 0.500 0.500 0.659
4 Os 0.000 0.000 0.500


# 2
The following is a DFT calculation (PBE-GGA) of a relaxed structure of Te3WCl.

Values from the calculation:
- SG = Pm-3m, No. 221
- DOS at the Fermi energy (states/eV/cell) = 4.47
- calculated volume (Å³/cell) = 146.5
- relative energy among the computed polymorphs (meV per atom) = 1510
- magnetization (μB/cell) = 3.34
- VASP energy (eV/atom) = -3.1968

Unit cell a=5.271 b=5.271 c=5.271 alpha=90.00 beta=90.00 gamma=90.00
Positions (direct):
1 Te 0.000 0.000 0.500
2 Te 0.000 0.500 0.000
3 Te 0.500 0.000 0.000
4 W 0.500 0.500 0.500
5 Cl 0.000 0.000 0.000


# 3
The following is a DFT calculation (PBE-GGA) of a relaxed structure of BaLaOs2.

Values from the calculation:
- SG = Amm2, No. 38
- energy relative to the elements (meV per atom) = 213
- DOS at the Fermi energy (states/eV/cell) = 4.98
- calculated volume (Å³/cell) = 241.7
- relative energy among the computed polymorphs (meV per atom) = 119
- magnetization (μB/cell) = 0.00
- VASP energy (eV/atom) = -7.1141

Unit cell a=4.356 b=4.699 c=11.811 alpha=90.00 beta=90.00 gamma=90.00
Positions (direct):
1 Ba 0.000 0.000 0.000
2 Ba 0.000 0.500 0.500
3 La 0.500 0.000 0.277
4 La 0.500 0.500 0.777
5 Os 0.000 0.000 0.709
6 Os 0.000 0.500 0.209
7 Os 0.500 0.000 0.625
8 Os 0.500 0.500 0.125


# 4
The following is a DFT calculation (PBE-GGA) of a relaxed structure of YFeSe.

Values from the calculation:
- SG = F-43m, No. 216
- DOS at the Fermi energy (states/eV/cell) = 31.84
- calculated volume (Å³/cell) = 299.9
- relative energy among the computed polymorphs (meV per atom) = 728
- magnetization (μB/cell) = 11.07
- VASP energy (eV/atom) = -6.1023

Unit cell a=6.693 b=6.693 c=6.693 alpha=90.00 beta=90.00 gamma=90.00
Positions (direct):
1 Y 0.000 0.000 0.000
2 Y 0.000 0.500 0.500
3 Y 0.500 0.000 0.500
4 Y 0.500 0.500 0.000
5 Fe 0.250 0.250 0.250
6 Fe 0.250 0.750 0.750
7 Fe 0.750 0.250 0.750
8 Fe 0.750 0.750 0.250
9 Se 0.250 0.250 0.750
10 Se 0.250 0.750 0.250
11 Se 0.750 0.250 0.250
12 Se 0.750 0.750 0.750


# 5
The following is a DFT calculation (PBE-GGA) of a relaxed structure of PmThRh.

Values from the calculation:
- SG = I4mm, No. 107
- energy relative to the elements (meV per atom) = -483
- DOS at the Fermi energy (states/eV/cell) = 6.24
- calculated volume (Å³/cell) = 152.9
- relative energy among the computed polymorphs (meV per atom) = 28
- magnetization (μB/cell) = 0.00
- VASP energy (eV/atom) = -6.9904

Unit cell a=3.662 b=3.662 c=11.401 alpha=90.00 beta=90.00 gamma=90.00
Positions (direct):
1 Pm 0.000 0.000 0.000
2 Pm 0.500 0.500 0.500
3 Th 0.000 0.000 0.295
4 Th 0.500 0.500 0.795
5 Rh 0.000 0.000 0.679
6 Rh 0.500 0.500 0.179


# 6
The following is a DFT calculation (PBE-GGA) of a relaxed structure of LaPmGePt.

Values from the calculation:
- SG = F-43m, No. 216
- energy relative to the elements (meV per atom) = -855
- DOS at the Fermi energy (states/eV/cell) = 5.68
- calculated volume (Å³/cell) = 398.2
- relative energy among the computed polymorphs (meV per atom) = 0
- magnetization (μB/cell) = 0.00
- VASP energy (eV/atom) = -5.9394

Unit cell a=7.357 b=7.357 c=7.357 alpha=90.00 beta=90.00 gamma=90.00
Positions (direct):
1 La 0.000 0.000 0.000
2 La 0.000 0.500 0.500
3 La 0.500 0.000 0.500
4 La 0.500 0.500 0.000
5 Pm 0.000 0.000 0.500
6 Pm 0.000 0.500 0.000
7 Pm 0.500 0.000 0.000
8 Pm 0.500 0.500 0.500
9 Ge 0.250 0.250 0.750
10 Ge 0.250 0.750 0.250
11 Ge 0.750 0.250 0.250
12 Ge 0.750 0.750 0.750
13 Pt 0.250 0.250 0.250
14 Pt 0.250 0.750 0.750
15 Pt 0.750 0.250 0.750
16 Pt 0.750 0.750 0.250


# 7
The following is a DFT calculation (PBE-GGA) of a relaxed structure of Fe2SiPb.

Values from the calculation:
- SG = Pm, No. 6
- DOS at the Fermi energy (states/eV/cell) = 3.24
- calculated volume (Å³/cell) = 69.2
- relative energy among the computed polymorphs (meV per atom) = 50
- magnetization (μB/cell) = 3.84
- VASP energy (eV/atom) = -6.3099

Unit cell a=3.532 b=3.025 c=6.705 alpha=90.00 beta=105.13 gamma=90.00
Positions (direct):
1 Fe 0.000 0.000 0.000
2 Fe 0.147 0.500 0.297
3 Si 0.620 0.000 0.242
4 Pb 0.363 0.500 0.722


# 8
The following is a DFT calculation (PBE-GGA) of a relaxed structure of Tb3Sm7.

Values from the calculation:
- SG = P6_3mc, No. 186
- energy relative to the elements (meV per atom) = 182
- DOS at the Fermi energy (states/eV/cell) = 36.22
- calculated volume (Å³/cell) = 670.5
- relative energy among the computed polymorphs (meV per atom) = 167
- magnetization (μB/cell) = 0.00
- VASP energy (eV/atom) = -4.5107

Unit cell a=11.114 b=11.114 c=6.268 alpha=90.00 beta=90.00 gamma=120.00
Positions (direct):
1 Tb 0.216 0.432 0.000
2 Tb 0.216 0.784 0.000
3 Tb 0.432 0.216 0.500
4 Tb 0.568 0.784 0.000
5 Tb 0.784 0.216 0.500
6 Tb 0.784 0.568 0.500
7 Sm 0.057 0.528 0.622
8 Sm 0.117 0.234 0.486
9 Sm 0.117 0.883 0.486
10 Sm 0.234 0.117 0.986
11 Sm 0.333 0.667 0.395
12 Sm 0.472 0.528 0.622
13 Sm 0.472 0.943 0.622
14 Sm 0.528 0.057 0.122
15 Sm 0.528 0.472 0.122
16 Sm 0.667 0.333 0.895
17 Sm 0.766 0.883 0.486
18 Sm 0.883 0.117 0.986
19 Sm 0.883 0.766 0.986
20 Sm 0.943 0.472 0.122


# 9
The following is a DFT calculation (PBE-GGA) of a relaxed structure of KMgMo2.

Values from the calculation:
- SG = P4mm, No. 99
- energy relative to the elements (meV per atom) = 582
- DOS at the Fermi energy (states/eV/cell) = 4.30
- calculated volume (Å³/cell) = 96.8
- magnetization (μB/cell) = 0.00
- VASP energy (eV/atom) = -5.5066

Unit cell a=3.262 b=3.262 c=9.097 alpha=90.00 beta=90.00 gamma=90.00
Positions (direct):
1 K 0.000 0.000 0.000
2 Mg 0.500 0.500 0.350
3 Mo 0.000 0.000 0.551
4 Mo 0.500 0.500 0.682


# 10
The following is a DFT calculation (PBE-GGA) of a relaxed structure of ZrZn2Ag.

Values from the calculation:
- SG = R-3m, No. 166
- energy relative to the elements (meV per atom) = -20
- DOS at the Fermi energy (states/eV/cell) = 7.77
- calculated volume (Å³/cell) = 215.3
- magnetization (μB/cell) = 0.00
- VASP energy (eV/atom) = -3.5069

Unit cell a=2.947 b=2.947 c=28.616 alpha=90.00 beta=90.00 gamma=120.00
Positions (direct):
1 Zr 0.000 0.000 0.000
2 Zr 0.333 0.667 0.667
3 Zr 0.667 0.333 0.333
4 Zn 0.000 0.000 0.246
5 Zn 0.000 0.000 0.754
6 Zn 0.333 0.667 0.421
7 Zn 0.333 0.667 0.912
8 Zn 0.667 0.333 0.088
9 Zn 0.667 0.333 0.579
10 Ag 0.000 0.000 0.500
11 Ag 0.333 0.667 0.167
12 Ag 0.667 0.333 0.833


# 11
The following is a DFT calculation (PBE-GGA) of a relaxed structure of ZrGaGe2.

Values from the calculation:
- SG = P4/mmm, No. 123
- energy relative to the elements (meV per atom) = -259
- DOS at the Fermi energy (states/eV/cell) = 2.71
- calculated volume (Å³/cell) = 73.4
- magnetization (μB/cell) = 0.00
- VASP energy (eV/atom) = -5.4612

Unit cell a=4.363 b=4.363 c=3.854 alpha=90.00 beta=90.00 gamma=90.00
Positions (direct):
1 Zr 0.000 0.000 0.000
2 Ga 0.500 0.500 0.000
3 Ge 0.000 0.500 0.500
4 Ge 0.500 0.000 0.500


# 12
The following is a DFT calculation (PBE-GGA) of a relaxed structure of CaPrAlIn.

Values from the calculation:
- SG = F-43m, No. 216
- energy relative to the elements (meV per atom) = -354
- DOS at the Fermi energy (states/eV/cell) = 12.32
- calculated volume (Å³/cell) = 442.6
- magnetization (μB/cell) = 0.00
- VASP energy (eV/atom) = -3.6694

Unit cell a=7.621 b=7.621 c=7.621 alpha=90.00 beta=90.00 gamma=90.00
Positions (direct):
1 Ca 0.000 0.000 0.000
2 Ca 0.000 0.500 0.500
3 Ca 0.500 0.000 0.500
4 Ca 0.500 0.500 0.000
5 Pr 0.000 0.000 0.500
6 Pr 0.000 0.500 0.000
7 Pr 0.500 0.000 0.000
8 Pr 0.500 0.500 0.500
9 Al 0.250 0.250 0.250
10 Al 0.250 0.750 0.750
11 Al 0.750 0.250 0.750
12 Al 0.750 0.750 0.250
13 In 0.250 0.250 0.750
14 In 0.250 0.750 0.250
15 In 0.750 0.250 0.250
16 In 0.750 0.750 0.750


# 13
The following is a DFT calculation (PBE-GGA) of a relaxed structure of CeMgHgPd.

Values from the calculation:
- SG = F-43m, No. 216
- energy relative to the elements (meV per atom) = -470
- DOS at the Fermi energy (states/eV/cell) = 29.50
- calculated volume (Å³/cell) = 357.8
- magnetization (μB/cell) = 2.84
- VASP energy (eV/atom) = -3.7259

Unit cell a=7.099 b=7.099 c=7.099 alpha=90.00 beta=90.00 gamma=90.00
Positions (direct):
1 Ce 0.000 0.000 0.000
2 Ce 0.000 0.500 0.500
3 Ce 0.500 0.000 0.500
4 Ce 0.500 0.500 0.000
5 Mg 0.000 0.000 0.500
6 Mg 0.000 0.500 0.000
7 Mg 0.500 0.000 0.000
8 Mg 0.500 0.500 0.500
9 Hg 0.250 0.250 0.250
10 Hg 0.250 0.750 0.750
11 Hg 0.750 0.250 0.750
12 Hg 0.750 0.750 0.250
13 Pd 0.250 0.250 0.750
14 Pd 0.250 0.750 0.250
15 Pd 0.750 0.250 0.250
16 Pd 0.750 0.750 0.750


# 14
The following is a DFT calculation (PBE-GGA) of a relaxed structure of Si2TcAgSb.

Values from the calculation:
- SG = P4/mmm, No. 123
- DOS at the Fermi energy (states/eV/cell) = 4.39
- calculated volume (Å³/cell) = 114.0
- magnetization (μB/cell) = 0.00
- VASP energy (eV/atom) = -5.1737

Unit cell a=4.589 b=4.589 c=5.414 alpha=90.00 beta=90.00 gamma=90.00
Positions (direct):
1 Si 0.000 0.500 0.000
2 Si 0.500 0.000 0.000
3 Tc 0.000 0.000 0.000
4 Ag 0.500 0.500 0.500
5 Sb 0.000 0.000 0.500